Entry 1:
The following is a DFT calculation (PBE-GGA) of crystalline Cu3Ag4 at its relaxed geometry.

Cell lengths 13.267, 13.267, 13.267 Å; angles 167.63, 167.63, 17.53 degrees
Positions (direct):
Ag (0.709, 0.709, 0.000)
Ag (0.874, 0.874, 0.000)
Ag (0.126, 0.126, 0.000)
Ag (0.291, 0.291, 0.000)
Cu (0.000, 0.000, 0.000)
Cu (0.556, 0.556, 0.000)
Cu (0.444, 0.444, 0.000)

- E_form: 0.97 kcal/mol of atoms
- Raw total energy: -0.2326 Ry/atom
- Polymorph energy (0 for the lowest one): 0 meV per atom



Entry 2:
The following is a DFT calculation (PBE-GGA) of crystalline Cu3Ag4 at its relaxed geometry.

Cell lengths 10.250, 10.250, 10.250 Å; angles 164.13, 158.58, 26.77 degrees
Positions (direct):
Ag (0.861, 0.861, 0.000)
Ag (0.562, 0.562, 0.000)
Ag (0.721, 0.721, 0.000)
Ag (0.142, 0.142, 0.000)
Cu (0.291, 0.291, 0.000)
Cu (0.429, 0.429, 0.000)
Cu (0.994, 0.994, 0.000)

- E_form: 2.04 kcal/mol of atoms
- Raw total energy: -0.2292 Ry/atom
- Polymorph energy (0 for the lowest one): 47 meV per atom



> E_form of number 2 (Cu3Ag4)?

2.04 kcal/mol of atoms



> Which formula does entry 1 have?

Cu3Ag4